(1)
Computed, not measured: Li2CdPb2 after structural relaxation at the PBE level of DFT.

Computed properties:
Formation energy from the elements   -0.152 eV/atom
Fermi-level density of states   2.35 states/eV/f.u.
Magnetic moment   0.0 μB per cell
Energy above the most stable polymorph in this dataset   10 meV per atom

Geometry as CIF:
```
data_Li2CdPb2
_symmetry_space_group_name_H-M 'P 1'
_symmetry_Int_Tables_number 1
_symmetry_space_group_name_Hall 'P 1'
_cell_length_a 7.622
_cell_length_b 7.622
_cell_length_c 3.922
_cell_angle_alpha 90.00
_cell_angle_beta 90.00
_cell_angle_gamma 90.00
loop_
_atom_site_label
_atom_site_type_symbol
_atom_site_fract_x
_atom_site_fract_y
_atom_site_fract_z
_atom_site_occupancy
Li1 Li 0.137 0.363 0.000 1
Li2 Li 0.363 0.863 0.000 1
Li3 Li 0.637 0.137 0.000 1
Li4 Li 0.863 0.637 0.000 1
Cd1 Cd 0.000 0.000 0.000 1
Cd2 Cd 0.500 0.500 0.000 1
Pb1 Pb 0.165 0.665 0.500 1
Pb2 Pb 0.335 0.165 0.500 1
Pb3 Pb 0.665 0.835 0.500 1
Pb4 Pb 0.835 0.335 0.500 1
```


(2)
Computed, not measured: Li5Cd2Pb2 after structural relaxation at the PBE level of DFT.

Computed properties:
Formation energy from the elements   -0.259 eV/atom
Fermi-level density of states   2.71 states/eV/f.u.
Magnetic moment   0.0 μB per cell
Energy above the most stable polymorph in this dataset   0 meV per atom

Geometry as CIF:
```
data_Li5Cd2Pb2
_symmetry_space_group_name_H-M 'P 1'
_symmetry_Int_Tables_number 1
_symmetry_space_group_name_Hall 'P 1'
_cell_length_a 5.298
_cell_length_b 5.298
_cell_length_c 7.943
_cell_angle_alpha 100.81
_cell_angle_beta 100.81
_cell_angle_gamma 56.46
loop_
_atom_site_label
_atom_site_type_symbol
_atom_site_fract_x
_atom_site_fract_y
_atom_site_fract_z
_atom_site_occupancy
Li1 Li 0.000 0.000 0.000 1
Li2 Li 0.107 0.107 0.670 1
Li3 Li 0.452 0.452 0.671 1
Li4 Li 0.548 0.548 0.329 1
Li5 Li 0.893 0.893 0.330 1
Cd1 Cd 0.340 0.340 0.988 1
Cd2 Cd 0.660 0.660 0.012 1
Pb1 Pb 0.222 0.222 0.334 1
Pb2 Pb 0.778 0.778 0.666 1
```


(3)
Computed, not measured: Li6Cd12Pb after structural relaxation at the PBE level of DFT.

Computed properties:
Formation energy from the elements   -0.169 eV/atom
Fermi-level density of states   4.70 states/eV/f.u.
Magnetic moment   0.0 μB per cell

Geometry as CIF:
```
data_Li6Cd12Pb
_symmetry_space_group_name_H-M 'P 1'
_symmetry_Int_Tables_number 1
_symmetry_space_group_name_Hall 'P 1'
_cell_length_a 7.339
_cell_length_b 7.339
_cell_length_c 7.339
_cell_angle_alpha 89.60
_cell_angle_beta 89.60
_cell_angle_gamma 89.60
loop_
_atom_site_label
_atom_site_type_symbol
_atom_site_fract_x
_atom_site_fract_y
_atom_site_fract_z
_atom_site_occupancy
Li1 Li 0.228 0.614 0.766 1
Li2 Li 0.234 0.772 0.386 1
Li3 Li 0.386 0.234 0.772 1
Li4 Li 0.614 0.766 0.228 1
Li5 Li 0.766 0.228 0.614 1
Li6 Li 0.772 0.386 0.234 1
Cd1 Cd 0.024 0.305 0.921 1
Cd2 Cd 0.079 0.976 0.695 1
Cd3 Cd 0.110 0.339 0.461 1
Cd4 Cd 0.305 0.921 0.024 1
Cd5 Cd 0.339 0.461 0.110 1
Cd6 Cd 0.461 0.110 0.339 1
Cd7 Cd 0.539 0.890 0.661 1
Cd8 Cd 0.661 0.539 0.890 1
Cd9 Cd 0.695 0.079 0.976 1
Cd10 Cd 0.890 0.661 0.539 1
Cd11 Cd 0.921 0.024 0.305 1
Cd12 Cd 0.976 0.695 0.079 1
Pb1 Pb 0.500 0.500 0.500 1
```


(4)
Computed, not measured: Li5Cd2Pb4 after structural relaxation at the PBE level of DFT.

Computed properties:
Formation energy from the elements   -0.229 eV/atom
Fermi-level density of states   2.94 states/eV/f.u.
Magnetic moment   0.0 μB per cell

Geometry as CIF:
```
data_Li5Cd2Pb4
_symmetry_space_group_name_H-M 'P 1'
_symmetry_Int_Tables_number 1
_symmetry_space_group_name_Hall 'P 1'
_cell_length_a 8.221
_cell_length_b 18.178
_cell_length_c 3.302
_cell_angle_alpha 90.00
_cell_angle_beta 90.00
_cell_angle_gamma 90.00
loop_
_atom_site_label
_atom_site_type_symbol
_atom_site_fract_x
_atom_site_fract_y
_atom_site_fract_z
_atom_site_occupancy
Li1 Li 0.000 0.000 0.000 1
Li2 Li 0.115 0.432 0.000 1
Li3 Li 0.208 0.205 0.000 1
Li4 Li 0.292 0.705 0.000 1
Li5 Li 0.385 0.932 0.000 1
Li6 Li 0.500 0.500 0.000 1
Li7 Li 0.615 0.068 0.000 1
Li8 Li 0.708 0.295 0.000 1
Li9 Li 0.792 0.795 0.000 1
Li10 Li 0.885 0.568 0.000 1
Cd1 Cd 0.017 0.305 0.500 1
Cd2 Cd 0.483 0.805 0.500 1
Cd3 Cd 0.517 0.195 0.500 1
Cd4 Cd 0.983 0.695 0.500 1
Pb1 Pb 0.112 0.853 0.500 1
Pb2 Pb 0.217 0.564 0.500 1
Pb3 Pb 0.283 0.064 0.500 1
Pb4 Pb 0.388 0.353 0.500 1
Pb5 Pb 0.612 0.647 0.500 1
Pb6 Pb 0.717 0.936 0.500 1
Pb7 Pb 0.783 0.436 0.500 1
Pb8 Pb 0.888 0.147 0.500 1
```


(5)
Computed, not measured: Li2CdPb2 after structural relaxation at the PBE level of DFT.

Computed properties:
Formation energy from the elements   -0.140 eV/atom
Fermi-level density of states   1.71 states/eV/f.u.
Magnetic moment   0.0 μB per cell
Energy above the most stable polymorph in this dataset   22 meV per atom

Geometry as CIF:
```
data_Li2CdPb2
_symmetry_space_group_name_H-M 'P 1'
_symmetry_Int_Tables_number 1
_symmetry_space_group_name_Hall 'P 1'
_cell_length_a 8.389
_cell_length_b 8.389
_cell_length_c 3.410
_cell_angle_alpha 90.00
_cell_angle_beta 90.00
_cell_angle_gamma 90.00
loop_
_atom_site_label
_atom_site_type_symbol
_atom_site_fract_x
_atom_site_fract_y
_atom_site_fract_z
_atom_site_occupancy
Li1 Li 0.166 0.334 0.000 1
Li2 Li 0.334 0.834 0.000 1
Li3 Li 0.666 0.166 0.000 1
Li4 Li 0.834 0.666 0.000 1
Cd1 Cd 0.000 0.000 0.500 1
Cd2 Cd 0.500 0.500 0.500 1
Pb1 Pb 0.136 0.636 0.500 1
Pb2 Pb 0.364 0.136 0.500 1
Pb3 Pb 0.636 0.864 0.500 1
Pb4 Pb 0.864 0.364 0.500 1
```


(6)
Computed, not measured: Li4Cd3Pb after structural relaxation at the PBE level of DFT.

Computed properties:
Formation energy from the elements   -0.262 eV/atom
Fermi-level density of states   2.90 states/eV/f.u.
Magnetic moment   0.0 μB per cell

Geometry as CIF:
```
data_Li4Cd3Pb
_symmetry_space_group_name_H-M 'P 1'
_symmetry_Int_Tables_number 1
_symmetry_space_group_name_Hall 'P 1'
_cell_length_a 7.563
_cell_length_b 7.563
_cell_length_c 7.563
_cell_angle_alpha 143.16
_cell_angle_beta 143.16
_cell_angle_gamma 53.08
loop_
_atom_site_label
_atom_site_type_symbol
_atom_site_fract_x
_atom_site_fract_y
_atom_site_fract_z
_atom_site_occupancy
Li1 Li 0.128 0.628 0.500 1
Li2 Li 0.372 0.872 0.500 1
Li3 Li 0.628 0.128 0.500 1
Li4 Li 0.872 0.372 0.500 1
Cd1 Cd 0.000 0.000 0.000 1
Cd2 Cd 0.248 0.248 0.000 1
Cd3 Cd 0.752 0.752 0.000 1
Pb1 Pb 0.500 0.500 0.000 1
```


(7)
Computed, not measured: Li5CdPb2 after structural relaxation at the PBE level of DFT.

Computed properties:
Formation energy from the elements   -0.238 eV/atom
Fermi-level density of states   3.84 states/eV/f.u.
Magnetic moment   0.0 μB per cell

Geometry as CIF:
```
data_Li5CdPb2
_symmetry_space_group_name_H-M 'P 1'
_symmetry_Int_Tables_number 1
_symmetry_space_group_name_Hall 'P 1'
_cell_length_a 7.596
_cell_length_b 7.596
_cell_length_c 7.596
_cell_angle_alpha 142.44
_cell_angle_beta 142.44
_cell_angle_gamma 54.16
loop_
_atom_site_label
_atom_site_type_symbol
_atom_site_fract_x
_atom_site_fract_y
_atom_site_fract_z
_atom_site_occupancy
Li1 Li 0.000 0.000 0.000 1
Li2 Li 0.121 0.621 0.500 1
Li3 Li 0.379 0.879 0.500 1
Li4 Li 0.621 0.121 0.500 1
Li5 Li 0.879 0.379 0.500 1
Cd1 Cd 0.500 0.500 0.000 1
Pb1 Pb 0.243 0.243 0.000 1
Pb2 Pb 0.757 0.757 0.000 1
```


(8)
Computed, not measured: Li2Cd2Pb after structural relaxation at the PBE level of DFT.

Computed properties:
Formation energy from the elements   -0.195 eV/atom
Fermi-level density of states   1.82 states/eV/f.u.
Magnetic moment   0.0 μB per cell
Energy above the most stable polymorph in this dataset   0 meV per atom

Geometry as CIF:
```
data_Li2Cd2Pb
_symmetry_space_group_name_H-M 'P 1'
_symmetry_Int_Tables_number 1
_symmetry_space_group_name_Hall 'P 1'
_cell_length_a 5.034
_cell_length_b 5.034
_cell_length_c 6.635
_cell_angle_alpha 122.73
_cell_angle_beta 122.73
_cell_angle_gamma 52.99
loop_
_atom_site_label
_atom_site_type_symbol
_atom_site_fract_x
_atom_site_fract_y
_atom_site_fract_z
_atom_site_occupancy
Li1 Li 0.099 0.099 0.303 1
Li2 Li 0.901 0.901 0.697 1
Cd1 Cd 0.303 0.303 0.894 1
Cd2 Cd 0.697 0.697 0.106 1
Pb1 Pb 0.500 0.500 0.500 1
```


What did the seventh record say?
Computed, not measured: Li5CdPb2 after structural relaxation at the PBE level of DFT.

Computed properties:
Formation energy from the elements   -0.238 eV/atom
Fermi-level density of states   3.84 states/eV/f.u.
Magnetic moment   0.0 μB per cell

Geometry as CIF:
```
data_Li5CdPb2
_symmetry_space_group_name_H-M 'P 1'
_symmetry_Int_Tables_number 1
_symmetry_space_group_name_Hall 'P 1'
_cell_length_a 7.596
_cell_length_b 7.596
_cell_length_c 7.596
_cell_angle_alpha 142.44
_cell_angle_beta 142.44
_cell_angle_gamma 54.16
loop_
_atom_site_label
_atom_site_type_symbol
_atom_site_fract_x
_atom_site_fract_y
_atom_site_fract_z
_atom_site_occupancy
Li1 Li 0.000 0.000 0.000 1
Li2 Li 0.121 0.621 0.500 1
Li3 Li 0.379 0.879 0.500 1
Li4 Li 0.621 0.121 0.500 1
Li5 Li 0.879 0.379 0.500 1
Cd1 Cd 0.500 0.500 0.000 1
Pb1 Pb 0.243 0.243 0.000 1
Pb2 Pb 0.757 0.757 0.000 1
```


- Look up the Fermi-level density of states of the sixth one.
  2.90 states/eV/f.u.


- Among the records above, which one has the highest formation energy from the elements?
  number 5